[1]
Tl3P | PBE | relaxed

```
Tl3P
1.0
10.9027 0.0000 0.0000
-5.4514 9.4420 0.0000
0.0000 0.0000 3.1822
Tl P
9 3
Cartesian
-2.7257 4.7210 0.0000
0.0000 3.1473 1.0607
-2.7257 7.8684 1.0607
2.7257 1.5737 2.1215
5.4514 0.0000 0.0000
2.7257 4.7210 0.0000
2.7257 7.8684 1.0607
8.1770 1.5737 2.1215
5.4514 6.2947 2.1215
0.0000 0.0000 0.0000
0.0000 6.2947 2.1215
5.4514 3.1473 1.0607
```

Output
Its final energy is -2.79 eV/atom. For the formation energy, the calculation gives 335 meV/atom. As for the crystal system: trigonal. The calculation puts the total moment at 0.0 μB/f.u.

---

[2]
Ac2LaPmBi5 | PBE | relaxed

```
Ac2LaPmBi5
1.0
5.5839 0.0000 0.0000
0.0000 5.5839 0.0000
0.0000 0.0000 12.3831
Ac La Pm Bi
2 1 1 5
Cartesian
0.0000 0.0000 2.7330
0.0000 0.0000 9.6501
2.7920 2.7920 6.1916
2.7920 2.7920 0.0000
0.0000 0.0000 6.1916
0.0000 2.7920 0.0000
2.7920 0.0000 0.0000
2.7920 2.7920 3.1141
2.7920 2.7920 9.2690
```

Output
Its final energy is -4.46 eV/atom. For the formation energy, the calculation gives -320 meV/atom. As for the crystal system: tetragonal. The calculation puts the total moment at 0.0 μB/f.u.

---

[3]
Hf2TaBe | PBE | relaxed

```
Hf2TaBe
1.0
7.3908 0.0000 0.0000
0.0000 7.3908 0.0000
0.0000 0.0000 5.4523
Hf Ta Be
8 4 4
Cartesian
1.5873 5.5431 0.6815
1.8477 1.5873 4.7708
1.8477 2.1081 2.0446
2.1081 5.5431 3.4077
5.2827 1.8477 3.4077
5.5431 5.2827 2.0446
5.5431 5.8035 4.7708
5.8035 1.8477 0.6815
0.0000 0.0000 2.7262
0.0000 3.6954 4.0892
3.6954 0.0000 1.3631
3.6954 3.6954 0.0000
0.0000 0.0000 0.0000
0.0000 3.6954 1.3631
3.6954 0.0000 4.0892
3.6954 3.6954 2.7262
```

Output
Its final energy is -8.35 eV/atom. For the formation energy, the calculation gives 525 meV/atom. As for the crystal system: tetragonal. The calculation puts the total moment at 0.0 μB/f.u.

---

[4]
Na2InGa2 | PBE | relaxed

```
Na2InGa2
1.0
4.1952 0.0000 0.0000
0.0000 4.1952 0.0000
0.0000 0.0000 14.0251
Na In Ga
4 2 4
Cartesian
0.0000 2.0976 3.5063
0.0000 2.0976 10.5188
2.0976 0.0000 3.5063
2.0976 0.0000 10.5188
0.0000 0.0000 0.0000
2.0976 2.0976 7.0125
0.0000 0.0000 5.7426
0.0000 0.0000 8.2825
2.0976 2.0976 1.2699
2.0976 2.0976 12.7552
```

Output
The calculation puts the energy above the most stable polymorph in this dataset at 0.155 eV per atom. Its final energy is -2.22 eV/atom. For the formation energy, the calculation gives 68 meV/atom. As for the crystal system: tetragonal. The calculation puts the total moment at 0.0 μB/f.u.

---

[5]
KSi2P | PBE | relaxed

```
KSi2P
1.0
3.4272 0.0000 0.0000
-1.7136 2.9681 0.0000
0.0000 0.0000 25.4722
K Si P
3 6 3
Cartesian
0.0000 0.0000 0.0000
0.0000 1.9787 16.9815
1.7136 0.9894 8.4907
0.0000 0.0000 5.7093
0.0000 0.0000 19.7629
0.0000 1.9787 11.2722
0.0000 1.9787 22.6907
1.7136 0.9894 2.7815
1.7136 0.9894 14.2000
0.0000 0.0000 12.7361
0.0000 1.9787 4.2454
1.7136 0.9894 21.2268
```

Output
The calculation puts the energy above the most stable polymorph in this dataset at 0.242 eV per atom. Its final energy is -4.00 eV/atom. The value obtained for the formation energy without anion corrections is 33 kJ per mole of atoms. As for the crystal system: trigonal. The calculation puts the total moment at 0.0 μB/f.u.

---

[6]
Tc2AsW | PBE | relaxed

```
Tc2AsW
1.0
2.8425 0.0000 0.0000
0.0000 4.0727 0.0000
-1.1016 0.0000 5.2648
Tc As W
2 1 1
Cartesian
0.0954 0.0000 1.3497
1.6456 0.0000 3.9152
0.8705 2.0364 2.6324
1.4213 2.0364 0.0000
```

Output
Its final energy is -9.40 eV/atom. For the formation energy, the calculation gives 186 meV/atom. As for the crystal system: monoclinic. The calculation puts the total moment at 0.0 μB/f.u.

---

[7]
YBeAu3 | PBE | relaxed

```
YBeAu3
1.0
4.7315 0.0000 0.0000
0.0000 4.7315 0.0000
0.0000 0.0000 6.0325
Y Be Au
1 1 3
Cartesian
0.0000 0.0000 0.0000
2.3658 2.3658 1.4010
0.0000 0.0000 3.2598
0.0000 2.3658 1.6569
2.3658 0.0000 1.6569
```

Output
The calculation puts the energy above the most stable polymorph in this dataset at 0.496 eV per atom. Its final energy is -4.08 eV/atom. For the formation energy, the calculation gives -71 meV/atom. As for the crystal system: tetragonal. The calculation puts the total moment at 0.0 μB/f.u.

---

[8]
Pm8PrDy6 | PBE | relaxed

```
Pm8PrDy6
1.0
4.5705 2.6388 6.9763
-4.5705 2.6388 6.9763
0.0000 -5.2775 6.9763
Pm Pr Dy
8 1 6
Cartesian
0.0000 0.0000 1.6198
-0.1440 -2.0026 7.5296
-1.6623 1.1260 7.5296
-1.8063 -0.8766 13.3993
1.8063 0.8766 7.5296
1.6623 -1.1260 13.3993
0.1440 2.0026 13.3993
0.0000 0.0000 19.3091
0.0000 0.0000 10.4645
-3.2463 -1.0912 9.6372
-0.6782 -3.3570 11.2917
-2.5681 2.2658 11.2917
2.5681 -2.2658 9.6372
0.6782 3.3570 9.6372
3.2463 1.0912 11.2917
```

Output
Its final energy is -4.57 eV/atom. For the formation energy, the calculation gives 127 meV/atom. As for the crystal system: trigonal. The calculation puts the total moment at 0.0 μB/f.u.

---

[9]
ZnRh3Au | PBE | relaxed

```
ZnRh3Au
1.0
4.8798 0.0000 0.0000
0.0000 4.8798 0.0000
0.0000 0.0000 4.8798
Zn Rh Au
1 3 1
Cartesian
0.0000 0.0000 0.0000
0.0000 2.4399 2.4399
2.4399 0.0000 2.4399
2.4399 2.4399 0.0000
2.4399 2.4399 2.4399
```

Output
The calculation puts the energy above the most stable polymorph in this dataset at 0.542 eV per atom. Its final energy is -3.73 eV/atom. For the formation energy, the calculation gives 1592 meV/atom. As for the crystal system: cubic. The calculation puts the total moment at 2.6 μB/f.u.